DFT (GGA-PBE) results for a relaxed structure of Lu2HgTe.

a = 3.7262 Å, b = 3.7262 Å, c = 7.3370 Å
α = 90.00°, β = 90.00°, γ = 90.00°
Sites, in units of the cell vectors:
Hg 0.5000 0.5000 0.0000
Lu 0.0000 0.0000 0.2472
Lu 0.0000 0.0000 0.7528
Te 0.5000 0.5000 0.5000

Summary:
Offset from the most stable computed form in meV per atom: 139
ΔE_f (raw) in meV/atom: -633


DFT (GGA-PBE) results for a relaxed structure of Pa3Be2Rh5.

a = 3.5037 Å, b = 9.7846 Å, c = 9.7846 Å
α = 90.00°, β = 90.00°, γ = 90.00°
Sites, in units of the cell vectors:
Rh 0.5000 0.0000 0.5000
Rh 0.5000 0.9249 0.2180
Rh 0.5000 0.5751 0.7180
Pa 0.0000 0.3269 0.8269
Rh 0.5000 0.7180 0.4249
Be 0.0000 0.3806 0.1194
Pa 0.0000 0.1731 0.3269
Pa 0.0000 0.8269 0.6731
Rh 0.5000 0.7820 0.9249
Be 0.0000 0.1194 0.6194
Rh 0.5000 0.5000 0.0000
Rh 0.5000 0.2820 0.5751
Pa 0.0000 0.5000 0.5000
Be 0.0000 0.6194 0.8806
Rh 0.5000 0.4249 0.2820
Rh 0.5000 0.2180 0.0751
Pa 0.0000 0.6731 0.1731
Rh 0.5000 0.0751 0.7820
Be 0.0000 0.8806 0.3806
Pa 0.0000 0.0000 0.0000

Summary:
E_form in eV per atom: -0.674


DFT (GGA-PBE) results for a relaxed structure of LaSc2O.

a = 6.6549 Å, b = 6.6549 Å, c = 6.6261 Å
α = 59.86°, β = 59.86°, γ = 90.00°
Sites, in units of the cell vectors:
Sc 0.3405 0.6250 0.2500
O 0.5000 0.5000 0.0000
Sc 0.3750 0.5905 0.7500
O 0.2500 0.7500 0.5000
La 0.7500 0.2500 0.5000
La 0.0000 0.0000 0.0000
Sc 0.8750 0.6595 0.7500
Sc 0.4095 0.1250 0.2500

Summary:
ΔE_f (raw) in meV/atom: -1339


DFT (GGA-PBE) results for a relaxed structure of SrMnAs.

a = 6.1305 Å, b = 6.1305 Å, c = 6.1305 Å
α = 146.05°, β = 146.02°, γ = 48.79°
Sites, in units of the cell vectors:
Mn 0.3873 0.3873 0.0000
As 0.9481 0.9481 0.0000
Sr 0.6646 0.6646 0.0000

Summary:
E_form in eV per atom: -0.142


DFT (GGA-PBE) results for a relaxed structure of Er2Mg3Sc.

a = 3.7052 Å, b = 3.7052 Å, c = 11.1612 Å
α = 90.00°, β = 90.00°, γ = 90.00°
Sites, in units of the cell vectors:
Mg 0.0000 0.0000 0.0000
Er 0.5000 0.5000 0.8285
Mg 0.0000 0.0000 0.6539
Sc 0.5000 0.5000 0.5000
Er 0.5000 0.5000 0.1715
Mg 0.0000 0.0000 0.3461

Summary:
E_form in eV per atom: -0.053


DFT (GGA-PBE) results for a relaxed structure of HfFeAs3.

a = 4.5715 Å, b = 4.5715 Å, c = 4.5715 Å
α = 90.00°, β = 90.00°, γ = 90.00°
Sites, in units of the cell vectors:
Fe 0.0000 0.0000 0.0000
As 0.5000 0.0000 0.0000
Hf 0.5000 0.5000 0.5000
As 0.0000 0.0000 0.5000
As 0.0000 0.5000 0.0000

Summary:
E_form in eV per atom: 0.391
Offset from the most stable computed form in meV per atom: 0


DFT (GGA-PBE) results for a relaxed structure of Ac5Cd2Sn.

a = 9.1121 Å, b = 9.1121 Å, c = 9.6240 Å
α = 118.26°, β = 118.26°, γ = 90.00°
Sites, in units of the cell vectors:
Ac 0.0094 0.5094 0.6997
Ac 0.0000 0.0000 0.0000
Ac 0.8097 0.9906 0.3003
Cd 0.8676 0.6324 0.0000
Cd 0.6324 0.1324 0.0000
Ac 0.1903 0.0094 0.6997
Ac 0.9906 0.4906 0.3003
Cd 0.3676 0.8676 0.0000
Cd 0.1324 0.3676 0.0000
Ac 0.5094 0.6903 0.6997
Ac 0.6903 0.1903 0.6997
Sn 0.7500 0.7500 0.5000
Ac 0.4906 0.3097 0.3003
Ac 0.5000 0.5000 0.0000
Sn 0.2500 0.2500 0.5000
Ac 0.3097 0.8097 0.3003

Summary:
E_form in eV per atom: -0.316


Sequential magnetization output: 0.0021; 0.1051; 0.2310; 1.0676; 0.0001; 0.0002; 0.0000 μB/atom